Arrangement one

This record from the Alexandria database describes SrNdSb2 after structural relaxation. The functional is PBE.

The structure in POSCAR format:
```
SrNdSb2
1.0
5.949 0.000 0.000
0.000 5.949 0.000
0.000 0.000 3.480
Sr Nd Sb
1 1 2
Direct
0.000 0.000 0.000
0.500 0.500 0.000
0.000 0.500 0.500
0.500 0.000 0.500
```

Calculated values
The density of states at the Fermi level comes out at 0.535 states/eV per atom. The space-group type is P4/mmm, No. 123. The value obtained for the mass density is 6.41 Mg/m³.

***

Arrangement two

This record from the Alexandria database describes SrNdSb2 after structural relaxation. The functional is PBE.

The structure in POSCAR format:
```
SrNdSb2
1.0
2.264 1.307 7.949
-2.264 1.307 7.949
0.000 -2.614 7.949
Sr Nd Sb
1 1 2
Direct
0.000 0.000 0.000
0.500 0.500 0.500
0.244 0.244 0.244
0.756 0.756 0.756
```

Calculated values
The density of states at the Fermi level comes out at 0.718 states/eV per atom. The space-group type is R-3m, No. 166. The value obtained for the mass density is 5.59 Mg/m³.

***

Arrangement three

This record from the Alexandria database describes SrNdSb2 after structural relaxation. The functional is PBE.

The structure in POSCAR format:
```
SrNdSb2
1.0
2.383 1.376 7.429
-2.383 1.376 7.429
0.000 -2.752 7.429
Sr Nd Sb
1 1 2
Direct
0.000 0.000 0.000
0.827 0.827 0.827
0.421 0.421 0.421
0.573 0.573 0.573
```

Calculated values
The density of states at the Fermi level comes out at 1.086 states/eV per atom. The space-group type is R3m, No. 160. The value obtained for the mass density is 5.40 Mg/m³.

***

Which structure above is the least stable one? arrangement one is the least stable one.